Record 1
A plane-wave DFT calculation with PBE was carried out for crystalline BaFe3Co at its relaxed geometry.

abc: 4.623 4.623 4.623
angles: 90.00 90.00 90.00
Fractional positions:
Ba: 0.000 0.000 0.000
Fe: 0.000 0.500 0.500
Fe: 0.500 0.000 0.500
Fe: 0.500 0.500 0.000
Co: 0.500 0.500 0.500

Properties
For the total energy, the calculation gives -6.15 eV per atom. The total magnetic moment is 9.97 Bohr magnetons per cell. The value obtained for the energy above the most stable polymorph in this dataset is 0.000 eV/atom. The formation energy from the elements comes out at 0.737 eV/atom.

Record 2
A plane-wave DFT calculation with PBE was carried out for crystalline AcGaI2O8 at its relaxed geometry.

abc: 6.033 6.033 6.827
angles: 90.00 90.00 120.00
Fractional positions:
Ac: 0.000 0.000 0.000
Ga: 0.000 0.000 0.500
I: 0.333 0.667 0.318
I: 0.667 0.333 0.682
O: 0.145 0.290 0.306
O: 0.145 0.855 0.306
O: 0.290 0.145 0.694
O: 0.333 0.667 0.052
O: 0.667 0.333 0.948
O: 0.710 0.855 0.306
O: 0.855 0.145 0.694
O: 0.855 0.710 0.694

Properties
For the total energy, the calculation gives -5.36 eV per atom. The total magnetic moment is 0.00 Bohr magnetons per cell. The energy relative to the elements, uncorrected is -1.206 eV/atom.